Density functional theory data (PBE) for crystalline CeSmSc2 at its relaxed geometry.

The structure in POSCAR format:
```
CeSmSc2
1.0
3.4667 0.0000 0.0000
0.0000 3.4667 0.0000
0.0000 0.0000 9.2475
Ce Sm Sc
1 1 2
Direct
0.0000 0.0000 0.0000 Ce
0.0000 0.0000 0.5000 Sm
0.5000 0.5000 0.2413 Sc
0.5000 0.5000 0.7587 Sc
```

Output
Its energy above the most stable polymorph in this dataset is 0 meV per atom. Its symmetry is No. 123. The calculated volume is 111.1 Å³ per cell. The calculation puts the formation enthalpy at 0 K at 27.2 kJ/mol of formula units. The calculation puts the calculated density at 5.7 Mg/m³.